Crystalline LiTm2Ga6Tc at its relaxed geometry, computed with PBE-GGA.

a b c (Å): 5.5197 5.8712 6.7862
angles (deg): 75.12 84.32 72.63
Last column: nearest neighbours and their distance in Å.
Element x y z (fractional)
Li 0.0000 0.0000 0.0000  6 Ga 2.68-2.84
Tm 0.1310 0.4192 0.2703  1 Tc 2.90, 6 Ga 2.90-3.11
Tm 0.8690 0.5808 0.7297  1 Tc 2.90, 6 Ga 2.90-3.11
Ga 0.1396 0.8752 0.3887  2 Ga 2.48-2.68, 1 Tc 2.49, 1 Li 2.68
Ga 0.3312 0.6467 0.8436  1 Tc 2.68, 1 Li 2.69, 2 Ga 2.71-2.82, 2 Tm 2.90-2.93
Ga 0.3834 0.1058 0.7108  1 Tc 2.61, 2 Ga 2.68-2.71, 1 Li 2.84
Ga 0.6166 0.8942 0.2892  1 Tc 2.61, 2 Ga 2.68-2.71, 1 Li 2.84
Ga 0.6688 0.3533 0.1564  1 Tc 2.68, 1 Li 2.69, 2 Ga 2.71-2.82, 2 Tm 2.90-2.93
Ga 0.8604 0.1248 0.6113  2 Ga 2.48-2.68, 1 Tc 2.49, 1 Li 2.68
Tc 0.5000 0.5000 0.5000  6 Ga 2.49-2.68

ΔE_f = -0.247 eV/atom